TiNbNi2H: optimized geometry, GGA-PBE.

a = 3.7579 Å, b = 3.7579 Å, c = 4.0402 Å
α = 90.00°, β = 90.00°, γ = 90.00°
Last column: nearest neighbours and their distance in Å.
Positions (direct):
Ti  0.0000  0.0000  0.0000  2 H 2.02
Nb  0.5000  0.5000  0.0000  4 Ti 2.66, 8 Ni 2.76
Ni  0.0000  0.5000  0.5000  2 H 1.88
Ni  0.5000  0.0000  0.5000  2 H 1.88
H  0.0000  0.0000  0.5000  4 Ni 1.88, 2 Ti 2.02

Calculated values
- total energy (eV per atom) = -6.754
- total magnetic moment (μB per atom) = 0.000